(1)
18
Lattice="3.510 2.026 5.917 -3.510 2.026 5.917 0.000 -4.053 5.917" Properties=species:S:1:pos:R:3 comment="Ba2TaV3O12 (GGA+U, relaxed)" sg="R-3m (166)" volume_a3_per_atom=14.0 e_tot_ha_per_atom=-0.2825 dos_ef_per_ev_atom=0.000 pbc="T T T"
Ba 0.000 0.000 2.089
Ba 0.000 0.000 15.660
Ta 0.000 0.000 8.875
V -1.755 -1.013 5.917
V -1.755 1.013 11.833
V 0.000 2.026 5.917
O -1.446 -0.835 7.791
O 0.000 -1.564 5.624
O -1.354 0.782 5.624
O 0.000 -1.669 9.959
O -1.446 0.835 9.959
O -1.354 -0.782 12.126
O 1.354 0.782 5.624
O 1.446 -0.835 7.791
O 0.000 1.669 7.791
O 1.354 -0.782 12.126
O 0.000 1.564 12.126
O 1.446 0.835 9.959


(2)
12
Lattice="4.210 -3.171 0.000 4.210 3.171 0.000 -1.779 0.000 7.019" Properties=species:S:1:pos:R:3 comment="BaTa2VO8 (GGA+U, relaxed)" sg="C2/m (12)" volume_a3_per_atom=15.6 e_tot_ha_per_atom=-0.3182 dos_ef_per_ev_atom=0.000 pbc="T T T"
Ba 0.000 0.000 0.000
Ta 2.258 0.000 5.362
Ta 4.383 0.000 1.657
V -0.890 0.000 3.510
O 0.860 0.000 4.076
O 2.936 1.694 4.870
O 3.705 1.694 2.149
O 1.171 0.000 6.939
O 5.470 0.000 0.081
O 2.936 -1.694 4.870
O 3.705 -1.694 2.149
O 5.781 0.000 2.943


(3)
18
Lattice="3.748 2.164 6.023 -3.748 2.164 6.023 0.000 -4.327 6.023" Properties=species:S:1:pos:R:3 comment="Ba2Ta3WO12 (GGA+U, relaxed)" sg="R-3m (166)" volume_a3_per_atom=16.3 e_tot_ha_per_atom=-0.3181 dos_ef_per_ev_atom=0.000 pbc="T T T"
Ba 0.000 0.000 3.170
Ba 0.000 0.000 14.899
Ta -1.874 -1.082 6.023
Ta -1.874 1.082 12.046
Ta 0.000 2.164 6.023
W 0.000 0.000 9.035
O -1.463 -0.845 7.963
O 0.000 -1.586 5.564
O -1.374 0.793 5.564
O 0.000 -1.690 10.107
O -1.463 0.845 10.107
O -1.374 -0.793 12.505
O 1.374 0.793 5.564
O 1.463 -0.845 7.963
O 0.000 1.690 7.963
O 1.374 -0.793 12.505
O 0.000 1.586 12.505
O 1.463 0.845 10.107